1.
Entry from the Alexandria database: a relaxed structure of CaScTlCu2 (PBE).

Formation enthalpy at 0 K   0.53 eV per atom
Total magnetic moment   0.59 μB per cell

Cell: 5.002 5.002 5.397 Å, 90.00 90.00 90.00°
Fractional coordinates of all 5 atoms:
Ca1 0.000 0.000 0.000
Sc1 0.500 0.500 0.000
Tl1 0.500 0.500 0.500
Cu1 0.000 0.500 0.500
Cu2 0.500 0.000 0.500

---

2.
Entry from the Alexandria database: a relaxed structure of CaScTlCu2 (PBE).

Formation enthalpy at 0 K   0.41 eV per atom
Total magnetic moment   0.00 μB per cell

Cell: 4.929 4.929 5.518 Å, 90.00 90.00 90.00°
Fractional coordinates of all 5 atoms:
Ca1 0.000 0.000 0.000
Sc1 0.500 0.500 0.500
Tl1 0.500 0.500 0.000
Cu1 0.000 0.500 0.500
Cu2 0.500 0.000 0.500

---

3.
Entry from the Alexandria database: a relaxed structure of CaYScCu2 (PBE).

Formation enthalpy at 0 K   1.00 eV per atom
Total magnetic moment   0.16 μB per cell

Cell: 4.998 4.998 5.481 Å, 90.00 90.00 90.00°
Fractional coordinates of all 5 atoms:
Ca1 0.000 0.000 0.000
Y1 0.000 0.000 0.500
Sc1 0.500 0.500 0.000
Cu1 0.000 0.500 0.500
Cu2 0.500 0.000 0.500

---

4.
Entry from the Alexandria database: a relaxed structure of CaScZnCu (PBE).

Formation enthalpy at 0 K   -0.15 eV per atom
Total magnetic moment   0.00 μB per cell

Cell: 4.876 4.876 4.876 Å, 60.00 60.00 60.00°
Fractional coordinates of all 4 atoms:
Ca1 0.000 0.000 0.000
Sc1 0.500 0.500 0.500
Zn1 0.750 0.750 0.750
Cu1 0.250 0.250 0.250

---

5.
Entry from the Alexandria database: a relaxed structure of Ca4CuSe (PBE).

Total magnetic moment   0.00 μB per cell
ΔE_f (raw)   314 meV/atom

Cell: 6.585 6.585 6.585 Å, 60.00 60.00 60.00°
Fractional coordinates of all 6 atoms:
Ca1 0.125 0.125 0.125
Ca2 0.125 0.125 0.624
Ca3 0.125 0.624 0.125
Ca4 0.624 0.125 0.125
Cu1 0.750 0.750 0.750
Se1 0.500 0.500 0.500

---

6.
Entry from the Alexandria database: a relaxed structure of Ca3CuSe (PBE).

Total magnetic moment   0.00 μB per cell
ΔE_f (raw)   -394 meV/atom

Cell: 5.528 5.528 5.528 Å, 90.00 90.00 90.00°
Fractional coordinates of all 5 atoms:
Ca1 0.000 0.000 0.500
Ca2 0.000 0.500 0.000
Ca3 0.500 0.000 0.000
Cu1 0.500 0.500 0.500
Se1 0.000 0.000 0.000

---

7.
Entry from the Alexandria database: a relaxed structure of CaCuSe (PBE).

Total magnetic moment   0.00 μB per cell
ΔE_f (raw)   -790 meV/atom

Cell: 4.202 4.202 4.086 Å, 90.00 90.00 120.00°
Fractional coordinates of all 3 atoms:
Ca1 0.000 0.000 0.000
Cu1 0.667 0.333 0.497
Se1 0.333 0.667 0.501

---

8.
Entry from the Alexandria database: a relaxed structure of CaCuSe4 (PBE).

Total magnetic moment   0.00 μB per cell
ΔE_f (raw)   63 meV/atom

Cell: 5.753 5.753 5.753 Å, 60.00 60.00 60.00°
Fractional coordinates of all 6 atoms:
Ca1 0.000 0.000 0.000
Cu1 0.750 0.750 0.750
Se1 0.376 0.376 0.376
Se2 0.376 0.376 0.872
Se3 0.376 0.872 0.376
Se4 0.872 0.376 0.376

---

no.,total energy (eV/cell)
1,-16.219
2,-16.840
3,-17.997
4,-14.287
5,-13.703
6,-15.555
7,-11.953
8,-19.659